Below is a relaxed YHf2ScTi crystal, with properties calculated at the GGA-PBE level.

The structure in CIF format:
```
data_YHf2ScTi
_cell_length_a 5.1370
_cell_length_b 5.1370
_cell_length_c 4.9576
_cell_angle_alpha 90.00
_cell_angle_beta 90.00
_cell_angle_gamma 90.00
_symmetry_space_group_name_H-M 'P 1'
_symmetry_Int_Tables_number 1
_symmetry_space_group_name_Hall 'P 1'
loop_
_atom_site_label
_atom_site_fract_x
_atom_site_fract_y
_atom_site_fract_z
_atom_site_occupancy
Y1 0.0000 0.0000 0.0000 1
Hf1 0.0000 0.5000 0.0000 1
Hf2 0.5000 0.0000 0.0000 1
Sc1 0.0000 0.0000 0.5000 1
Ti1 0.5000 0.5000 0.5000 1
```

Computed properties:
* formation energy from the elements: 734 kJ/mol of formula units
* M_tot: 0.00 μB per formula unit
* mass density: 6.84 g/cm³
* SG: P4/mmm (123)

***

Below is a relaxed HfScTiZn crystal, with properties calculated at the GGA-PBE level.

The structure in CIF format:
```
data_HfScTiZn
_cell_length_a 4.7913
_cell_length_b 4.7913
_cell_length_c 4.7913
_cell_angle_alpha 60.00
_cell_angle_beta 60.00
_cell_angle_gamma 60.00
_symmetry_space_group_name_H-M 'P 1'
_symmetry_Int_Tables_number 1
_symmetry_space_group_name_Hall 'P 1'
loop_
_atom_site_label
_atom_site_fract_x
_atom_site_fract_y
_atom_site_fract_z
_atom_site_occupancy
Hf1 0.0000 0.0000 0.0000 1
Sc1 0.5000 0.5000 0.5000 1
Ti1 0.7500 0.7500 0.7500 1
Zn1 0.2500 0.2500 0.2500 1
```

Computed properties:
* formation energy from the elements: 8 kJ/mol of formula units
* M_tot: 2.63 μB per formula unit
* mass density: 7.19 g/cm³
* SG: F-43m (216)

***

Below is a relaxed HfZrScTi crystal, with properties calculated at the GGA-PBE level.

The structure in CIF format:
```
data_HfZrScTi
_cell_length_a 5.4165
_cell_length_b 5.4165
_cell_length_c 5.4165
_cell_angle_alpha 132.04
_cell_angle_beta 132.04
_cell_angle_gamma 70.16
_symmetry_space_group_name_H-M 'P 1'
_symmetry_Int_Tables_number 1
_symmetry_space_group_name_Hall 'P 1'
loop_
_atom_site_label
_atom_site_fract_x
_atom_site_fract_y
_atom_site_fract_z
_atom_site_occupancy
Hf1 0.0000 0.0000 0.0000 1
Zr1 0.2500 0.7500 0.5000 1
Sc1 0.5000 0.5000 0.0000 1
Ti1 0.7500 0.2500 0.5000 1
```

Computed properties:
* formation energy from the elements: 35 kJ/mol of formula units
* M_tot: 0.00 μB per formula unit
* mass density: 7.01 g/cm³
* SG: I-4m2 (119)

***

Below is a relaxed HfScTl crystal, with properties calculated at the GGA-PBE level.

The structure in CIF format:
```
data_HfScTl
_cell_length_a 8.4651
_cell_length_b 8.4651
_cell_length_c 8.4651
_cell_angle_alpha 150.95
_cell_angle_beta 150.95
_cell_angle_gamma 41.55
_symmetry_space_group_name_H-M 'P 1'
_symmetry_Int_Tables_number 1
_symmetry_space_group_name_Hall 'P 1'
loop_
_atom_site_label
_atom_site_fract_x
_atom_site_fract_y
_atom_site_fract_z
_atom_site_occupancy
Hf1 0.0000 0.5000 0.5000 1
Hf2 0.5000 0.0000 0.5000 1
Sc1 0.1696 0.1696 0.0000 1
Sc2 0.8304 0.8304 0.0000 1
Tl1 0.3585 0.3585 0.0000 1
Tl2 0.6415 0.6415 0.0000 1
```

Computed properties:
* energy above the lowest structure with this stoichiometry: 0.033 eV per atom
* formation energy from the elements: -26 kJ/mol of formula units
* M_tot: 0.00 μB per formula unit
* mass density: 9.96 g/cm³
* SG: I4/mmm (139)